This record from Alexandria describes an optimized crystal structure of InNi2Cl. The functional is PBE.

Computed properties:
Fermi-level density of states: 4.65 states/eV/f.u.
Formation energy (no corrections): 19 meV/atom
Spin magnetization: 0.9 μB/f.u.
ΔE to the lowest computed polymorph: 117 meV/atom
Electronic total energy: -4.018 eV/atom

Cell lengths 3.1722, 3.1208, 6.9950 Å; angles 89.63, 90.00, 90.00 degrees
Closest atoms and distances in Å follow each position.
Atoms (fractional coordinates):
Cl1 0.0000 0.4972 0.4409  2 Ni 2.26
In1 0.5000 0.5050 0.8200  5 Ni 2.66-2.74
Ni1 0.0000 0.0020 0.0277  4 Ni 2.56-2.58, 4 In 2.66
Ni2 0.5000 0.4958 0.2114  2 Cl 2.26


This record from Alexandria describes an optimized crystal structure of InNi2Cl. The functional is PBE.

Computed properties:
Fermi-level density of states: 4.97 states/eV/f.u.
Formation energy (no corrections): 209 meV/atom
Spin magnetization: 0.5 μB/f.u.
ΔE to the lowest computed polymorph: 307 meV/atom
Electronic total energy: -3.828 eV/atom

Cell lengths 3.1689, 3.1689, 7.6965 Å; angles 90.00, 90.00, 120.57 degrees
Closest atoms and distances in Å follow each position.
Atoms (fractional coordinates):
Cl1 0.5000 0.5000 0.2500  4 Ni 2.40
In1 0.5000 0.5000 0.7500  4 Ni 2.57
Ni1 0.0000 0.0000 0.0144  2 Cl 2.40, 2 In 2.57
Ni2 0.0000 0.0000 0.4856  2 Cl 2.40, 2 In 2.57


This record from Alexandria describes an optimized crystal structure of InNiCl4. The functional is PBE.

Computed properties:
Fermi-level density of states: 7.30 states/eV/f.u.
Formation energy (no corrections): 599 meV/atom
Spin magnetization: 3.1 μB/f.u.
Electronic total energy: -2.052 eV/atom

Cell lengths 6.0109, 6.0109, 6.0109 Å; angles 60.00, 60.00, 60.00 degrees
Closest atoms and distances in Å follow each position.
Atoms (fractional coordinates):
In1 0.7500 0.7500 0.7500  12 Cl 3.52, 4 Ni 3.68
Ni1 0.0000 0.0000 0.0000  12 Cl 3.52, 4 In 3.68
Cl1 0.8759 0.3747 0.3747  6 Cl 3.00-3.01
Cl2 0.3747 0.3747 0.8759  6 Cl 3.00-3.01
Cl3 0.3747 0.8759 0.3747  6 Cl 3.00-3.01
Cl4 0.3747 0.3747 0.3747  6 Cl 3.00-3.01


This record from Alexandria describes an optimized crystal structure of InNi2Cl. The functional is PBE.

Computed properties:
Fermi-level density of states: 0.33 states/eV/f.u.
Formation energy (no corrections): 497 meV/atom
Spin magnetization: 0.0 μB/f.u.
ΔE to the lowest computed polymorph: 595 meV/atom
Electronic total energy: -3.539 eV/atom

Cell lengths 4.5165, 4.5165, 4.5165 Å; angles 60.00, 60.00, 60.00 degrees
Closest atoms and distances in Å follow each position.
Atoms (fractional coordinates):
Cl1 0.5000 0.5000 0.5000  4 In 2.77, 4 Ni 2.77
In1 0.7500 0.7500 0.7500  4 Cl 2.77, 4 Ni 2.77
Ni1 0.0000 0.0000 0.0000  4 Ni 2.77, 4 In 2.77
Ni2 0.2500 0.2500 0.2500  4 Cl 2.77, 4 Ni 2.77


This record from Alexandria describes an optimized crystal structure of InNi2Cl. The functional is PBE.

Computed properties:
Fermi-level density of states: 4.44 states/eV/f.u.
Formation energy (no corrections): -35 meV/atom
Spin magnetization: 0.0 μB/f.u.
ΔE to the lowest computed polymorph: 63 meV/atom
Electronic total energy: -4.072 eV/atom

Cell lengths 3.0861, 3.5855, 6.2212 Å; angles 89.88, 90.00, 90.00 degrees
Closest atoms and distances in Å follow each position.
Atoms (fractional coordinates):
Cl1 0.5000 0.2500 0.2500  4 Ni 2.42
In1 0.5000 0.7500 0.7500  8 Ni 2.68
Ni1 0.0000 0.2492 0.9510  2 Cl 2.42, 1 Ni 2.50, 4 In 2.68
Ni2 0.0000 0.2508 0.5490  2 Cl 2.42, 1 Ni 2.50, 4 In 2.68


This record from Alexandria describes an optimized crystal structure of InNiCl. The functional is PBE.

Computed properties:
Fermi-level density of states: 0.96 states/eV/f.u.
Formation energy (no corrections): 107 meV/atom
Spin magnetization: 0.0 μB/f.u.
ΔE to the lowest computed polymorph: 270 meV/atom
Electronic total energy: -3.349 eV/atom

Cell lengths 4.4609, 4.4609, 4.4609 Å; angles 60.00, 60.00, 60.00 degrees
Closest atoms and distances in Å follow each position.
Atoms (fractional coordinates):
Cl1 0.0000 0.0000 0.0000  4 Ni 2.73
In1 0.5000 0.5000 0.5000  4 Ni 2.73
Ni1 0.2500 0.2500 0.2500  4 In 2.73, 4 Cl 2.73


This record from Alexandria describes an optimized crystal structure of InNi2Cl. The functional is PBE.

Computed properties:
Fermi-level density of states: 2.95 states/eV/f.u.
Formation energy (no corrections): -98 meV/atom
Spin magnetization: 0.3 μB/f.u.
ΔE to the lowest computed polymorph: 0 meV/atom
Electronic total energy: -4.135 eV/atom

Cell lengths 6.4641, 6.4641, 3.4069 Å; angles 89.92, 89.92, 29.83 degrees
Closest atoms and distances in Å follow each position.
Atoms (fractional coordinates):
Cl1 0.4525 0.4525 0.2518  3 Ni 2.18-2.32
In1 0.6876 0.6876 0.7494  8 Ni 2.64-2.72
Ni1 0.0816 0.0816 0.2499  2 Cl 2.32, 1 Ni 2.46
Ni2 0.2782 0.2782 0.2489  1 Cl 2.18


This record from Alexandria describes an optimized crystal structure of In3NiCl. The functional is PBE.

Computed properties:
Fermi-level density of states: 0.29 states/eV/f.u.
Formation energy (no corrections): -383 meV/atom
Spin magnetization: 0.0 μB/f.u.
ΔE to the lowest computed polymorph: 0 meV/atom
Electronic total energy: -3.552 eV/atom

Cell lengths 5.0087, 5.0087, 5.0087 Å; angles 90.00, 90.00, 90.00 degrees
Closest atoms and distances in Å follow each position.
Atoms (fractional coordinates):
Ni1 0.0000 0.0000 0.0000  6 In 2.50
Cl1 0.5000 0.5000 0.5000  12 In 3.54
In1 0.0000 0.5000 0.0000  2 Ni 2.50
In2 0.0000 0.0000 0.5000  2 Ni 2.50
In3 0.5000 0.0000 0.0000  2 Ni 2.50


This record from Alexandria describes an optimized crystal structure of InNi2Cl. The functional is PBE.

Computed properties:
Fermi-level density of states: 0.63 states/eV/f.u.
Formation energy (no corrections): 156 meV/atom
Spin magnetization: 0.0 μB/f.u.
ΔE to the lowest computed polymorph: 253 meV/atom
Electronic total energy: -3.881 eV/atom

Cell lengths 3.2405, 3.2411, 6.1422 Å; angles 90.00, 90.00, 90.00 degrees
Closest atoms and distances in Å follow each position.
Atoms (fractional coordinates):
Cl1 0.5000 0.5000 0.2500  8 Ni 2.88, 2 In 3.07
In1 0.5000 0.5000 0.7500  8 Ni 2.65
Ni1 0.0000 0.0000 0.9653  1 Ni 2.64, 4 In 2.65, 4 Cl 2.88
Ni2 0.0000 0.0000 0.5347  1 Ni 2.64, 4 In 2.65, 4 Cl 2.88


This record from Alexandria describes an optimized crystal structure of InNi2Cl. The functional is PBE.

Computed properties:
Fermi-level density of states: 0.47 states/eV/f.u.
Formation energy (no corrections): 350 meV/atom
Spin magnetization: 0.0 μB/f.u.
ΔE to the lowest computed polymorph: 447 meV/atom
Electronic total energy: -3.687 eV/atom

Cell lengths 4.4585, 4.4585, 4.4585 Å; angles 60.00, 60.00, 60.00 degrees
Closest atoms and distances in Å follow each position.
Atoms (fractional coordinates):
Ni1 0.2500 0.2500 0.2500  4 In 2.73, 4 Cl 2.73
Ni2 0.7500 0.7500 0.7500  4 In 2.73, 4 Cl 2.73
Cl1 0.0000 0.0000 0.0000  8 Ni 2.73
In1 0.5000 0.5000 0.5000  8 Ni 2.73


This record from Alexandria describes an optimized crystal structure of InNi2Cl. The functional is PBE.

Computed properties:
Fermi-level density of states: 3.12 states/eV/f.u.
Formation energy (no corrections): -28 meV/atom
Spin magnetization: 0.0 μB/f.u.
ΔE to the lowest computed polymorph: 69 meV/atom
Electronic total energy: -4.065 eV/atom

Cell lengths 4.7158, 4.7158, 7.3939 Å; angles 51.53, 51.53, 38.11 degrees
Closest atoms and distances in Å follow each position.
Atoms (fractional coordinates):
Cl1 0.2500 0.2500 0.2500  4 Ni 2.42
In1 0.7500 0.7500 0.7500  6 Ni 2.62-2.68
Ni1 0.9365 0.9365 0.9139  2 Cl 2.42, 2 Ni 2.43, 3 In 2.62-2.68
Ni2 0.5635 0.5635 0.5861  2 Cl 2.42, 2 Ni 2.43, 3 In 2.62-2.68


This record from Alexandria describes an optimized crystal structure of InNi2Cl. The functional is PBE.

Computed properties:
Fermi-level density of states: 4.61 states/eV/f.u.
Formation energy (no corrections): 349 meV/atom
Spin magnetization: 0.6 μB/f.u.
ΔE to the lowest computed polymorph: 446 meV/atom
Electronic total energy: -3.688 eV/atom

Cell lengths 4.5844, 4.5844, 3.0423 Å; angles 90.00, 90.00, 100.59 degrees
Closest atoms and distances in Å follow each position.
Atoms (fractional coordinates):
Cl1 0.5000 0.0000 0.5000  8 Ni 2.75, 2 In 2.93, 2 Cl 3.04
In1 0.0000 0.5000 0.5000  8 Ni 2.75, 2 Cl 2.93, 2 In 3.04
Ni1 0.0000 0.0000 0.0000  4 Cl 2.75, 4 In 2.75, 4 Ni 2.93-3.04
Ni2 0.5000 0.5000 0.0000  4 In 2.75, 4 Cl 2.75, 4 Ni 2.93-3.04


This record from Alexandria describes an optimized crystal structure of InNi2Cl. The functional is PBE.

Computed properties:
Fermi-level density of states: 4.08 states/eV/f.u.
Formation energy (no corrections): 191 meV/atom
Spin magnetization: 0.0 μB/f.u.
ΔE to the lowest computed polymorph: 289 meV/atom
Electronic total energy: -3.846 eV/atom

Cell lengths 5.1099, 5.1099, 5.1099 Å; angles 146.23, 116.61, 73.78 degrees
Closest atoms and distances in Å follow each position.
Atoms (fractional coordinates):
Cl1 0.7500 0.2500 0.5000  4 Ni 2.44
In1 0.2500 0.7500 0.5000  4 Ni 2.62
Ni1 0.9862 0.9862 0.0000  2 Cl 2.44, 2 In 2.62
Ni2 0.5138 0.5138 0.0000  2 Cl 2.44, 2 In 2.62


This record from Alexandria describes an optimized crystal structure of InNiCl. The functional is PBE.

Computed properties:
Fermi-level density of states: 1.65 states/eV/f.u.
Formation energy (no corrections): -29 meV/atom
Spin magnetization: 0.0 μB/f.u.
ΔE to the lowest computed polymorph: 133 meV/atom
Electronic total energy: -3.485 eV/atom

Cell lengths 5.9682, 5.9681, 3.2466 Å; angles 74.22, 74.21, 31.57 degrees
Closest atoms and distances in Å follow each position.
Atoms (fractional coordinates):
Cl1 0.9691 0.9691 0.0309  4 Ni 2.79, 1 In 2.90
In1 0.7055 0.7055 0.2945  4 Ni 2.65, 1 Cl 2.90
Ni1 0.3254 0.3254 0.6746  4 In 2.65, 4 Cl 2.79